Computed, not measured: crystalline TmHfPb2 at its relaxed geometry at the PBE level of DFT.

Cell: 3.3859 3.3859 8.8233 Å, 90.00 90.00 90.00°
Last column: nearest neighbours and their distance in Å.
Sites, in units of the cell vectors:
Tm 0.5000 0.5000 0.5000  8 Pb 3.31, 4 Tm 3.39
Hf 0.5000 0.5000 0.0000  8 Pb 3.20, 4 Hf 3.39
Pb 0.0000 0.0000 0.7592  4 Hf 3.20, 4 Tm 3.31, 4 Pb 3.39
Pb 0.0000 0.0000 0.2408  4 Hf 3.20, 4 Tm 3.31, 4 Pb 3.39

Calculated values
E_form   -0.108 eV per atom
Space-group type   P4/mmm, No. 123
E above lowest polymorph   0.000 eV per atom
Crystal system   tetragonal

Computed, not measured: crystalline SmSb2Pt at its relaxed geometry at the PBE level of DFT.

Cell: 3.7067 3.7067 9.8898 Å, 79.20 79.20 60.00°
Last column: nearest neighbours and their distance in Å.
Sites, in units of the cell vectors:
Sb 0.1091 0.1091 0.6728  3 Pt 2.71
Sb 0.8909 0.8909 0.3272  3 Pt 2.71
Sm 0.0000 0.0000 0.0000  2 Sb 3.16
Pt 0.5000 0.5000 0.5000  6 Sb 2.71

Calculated values
Space-group type   R-3m, No. 166
Raw formation energy   -0.20 eV/atom
Crystal system   trigonal

Computed, not measured: crystalline AlTlInS3 at its relaxed geometry at the PBE level of DFT.

Cell: 3.8279 9.2658 9.8849 Å, 101.65 90.00 90.00°
Last column: nearest neighbours and their distance in Å.
Sites, in units of the cell vectors:
Tl 0.2500 0.1874 0.1783  3 S 3.02-3.29
Tl 0.7500 0.8126 0.8217  3 S 3.02-3.29
Al 0.7500 0.9161 0.3860  4 S 2.17-2.36
Al 0.2500 0.0839 0.6140  4 S 2.17-2.36
In 0.7500 0.3667 0.8709  5 S 2.67-2.87
In 0.2500 0.6333 0.1291  5 S 2.67-2.87
S 0.7500 0.1594 0.5072  3 Al 2.33-2.36
S 0.7500 0.8685 0.1615  1 Al 2.17
S 0.2500 0.5700 0.8533  3 In 2.67-2.72
S 0.2500 0.8406 0.4928  3 Al 2.33-2.36
S 0.2500 0.1315 0.8385  1 Al 2.17
S 0.7500 0.4300 0.1467  3 In 2.67-2.72

Calculated values
Space-group type   P2_1/m, No. 11
Raw formation energy   -0.59 eV/atom
Crystal system   monoclinic

So what do the calculations give for V? Going down the list: 25.3, 28.7, 28.6 A^3/atom.
So what do the calculations give for DFT total energy? Going down the list: -22.27, -19.81, -49.55 eV/cell.
So what do the calculations give for DOS at the Fermi energy? Going down the list: 0.674, 0.721, 0.357 states/eV/atom.